A plane-wave DFT calculation with PBE was carried out for an optimized crystal structure of KPdBr.

Computed properties:
E_form (uncorrected): -676 meV per atom
Excess energy over the best structure of this formula in the dataset: 0.11 eV/f.u.

```
data_KPdBr
_cell_length_a 18.3483
_cell_length_b 3.8565
_cell_length_c 5.4579
_cell_angle_alpha 90.00
_cell_angle_beta 107.29
_cell_angle_gamma 90.00
_space_group_name_H-M_alt 'C 1 m 1'
_space_group_IT_number 8
loop_
_space_group_symop_operation_xyz
'x,y,z'
'x,-y,z'
'x+1/2,y+1/2,z'
'x+1/2,-y+1/2,z'
loop_
_atom_site_label
_atom_site_fract_x
_atom_site_fract_y
_atom_site_fract_z
_atom_site_occupancy
K1 0.0000 0.0000 0.0000 1
K2 0.2451 0.0000 0.2441 1
Pd1 0.1379 0.0000 0.6372 1
Pd2 0.2421 0.5000 0.7412 1
Br1 0.0378 0.5000 0.5377 1
Br2 0.3464 0.0000 0.8453 1
```